A plane-wave DFT calculation with GGA-PBE was carried out for a relaxed TiAl2Fe2 crystal.

Cell: 6.736 6.736 2.904 Å, 90.00 90.00 90.00°
Fractional positions:
Fe: 0.847 0.653 0.000
Ti: 0.500 0.500 0.000
Fe: 0.153 0.347 0.000
Al: 0.145 0.645 0.500
Fe: 0.347 0.847 0.000
Fe: 0.653 0.153 0.000
Ti: 0.000 0.000 0.000
Al: 0.355 0.145 0.500
Al: 0.645 0.855 0.500
Al: 0.855 0.355 0.500

Output
Space group: P4/mbm, No. 127
Crystal system: tetragonal
Energy relative to the lowest polymorph listed for this composition, eV per atom: 0.046
M_tot, μB per atom: 0.00
Theoretical density, g/cm3: 5.4
D(E_F), states/eV/atom: 0.802

A plane-wave DFT calculation with GGA-PBE was carried out for a relaxed Tm4TlIn crystal.

Cell: 5.112 5.112 7.230 Å, 89.99 89.99 90.00°
Fractional positions:
In: 0.001 0.997 0.498
Tm: 0.501 0.997 0.249
Tm: 0.001 0.497 0.747
Tm: 0.001 0.497 0.249
Tm: 0.501 0.998 0.747
Tl: 0.501 0.497 0.998

Output
Space group: P4/mmm, No. 123
Crystal system: tetragonal
Energy relative to the lowest polymorph listed for this composition, eV per atom: 0.000
M_tot, μB per atom: 0.00
Theoretical density, g/cm3: 8.7
D(E_F), states/eV/atom: 1.104

A plane-wave DFT calculation with GGA-PBE was carried out for a relaxed HRhS2 crystal.

Cell: 5.929 3.633 3.633 Å, 59.96 81.51 81.21°
Fractional positions:
Rh: 0.213 0.201 0.970
S: 0.004 0.904 0.669
S: 0.395 0.504 0.275
H: 0.629 0.462 0.239

Output
Space group: P1, No. 1
Crystal system: triclinic
Energy relative to the lowest polymorph listed for this composition, eV per atom: 0.020
M_tot, μB per atom: 0.00
Theoretical density, g/cm3: 4.2

A plane-wave DFT calculation with GGA-PBE was carried out for a relaxed CuSiNi crystal.

Cell: 3.918 3.918 2.667 Å, 90.00 90.00 120.00°
Fractional positions:
Cu: 0.000 0.000 0.967
Si: 0.333 0.667 0.584
Ni: 0.667 0.333 0.449

Output
E_form (uncorrected), meV/atom: -215
Space group: P3m1, No. 156
Crystal system: trigonal
M_tot, μB per atom: 0.00
Theoretical density, g/cm3: 7.0
D(E_F), states/eV/atom: 0.260

A plane-wave DFT calculation with GGA-PBE was carried out for a relaxed Cs6OsCl12 crystal.

Cell: 9.698 9.698 9.698 Å, 86.07 86.07 86.07°
Fractional positions:
Cs: 0.470 0.001 0.760
Cs: 0.001 0.760 0.470
Cs: 0.240 0.530 0.999
Cl: 0.823 0.089 0.865
Cl: 0.177 0.911 0.135
Cl: 0.986 0.490 0.261
Cl: 0.014 0.510 0.739
Cs: 0.530 0.999 0.240
Cl: 0.261 0.986 0.490
Cl: 0.739 0.014 0.510
Cs: 0.760 0.470 0.001
Cl: 0.135 0.177 0.911
Cl: 0.510 0.739 0.014
Cl: 0.490 0.261 0.986
Cl: 0.865 0.823 0.089
Cs: 0.999 0.240 0.530
Cl: 0.089 0.865 0.823
Os: 0.000 0.000 0.000
Cl: 0.911 0.135 0.177

Output
E_form (uncorrected), meV/atom: -1332
Space group: R-3, No. 148
Crystal system: trigonal
M_tot, μB per atom: 0.07
Theoretical density, g/cm3: 2.6
D(E_F), states/eV/atom: 1.688

A plane-wave DFT calculation with GGA-PBE was carried out for a relaxed Ce3NO3 crystal.

Cell: 4.888 4.888 4.888 Å, 90.00 90.00 90.00°
Fractional positions:
O: 0.500 0.000 0.000
O: 0.000 0.500 0.000
Ce: 0.500 0.000 0.500
O: 0.000 0.000 0.500
Ce: 0.500 0.500 0.000
N: 0.500 0.500 0.500
Ce: 0.000 0.500 0.500

Output
E_form (uncorrected), meV/atom: -2551
Space group: Pm-3m, No. 221
Crystal system: cubic
M_tot, μB per atom: 0.27
Theoretical density, g/cm3: 6.9
D(E_F), states/eV/atom: 1.373

What is the theoretical density in the first record? 5.4 g/cm3